Compound: NiMoSCl2
Source: Alexandria via LeMat-Bulk
Functional: PBEsol
Structure: relaxed

POSCAR file:
```
NiMoSCl2
1.0
4.7214 0.0000 0.0000
0.0000 4.7214 0.0000
0.0000 0.0000 4.5633
Ni Mo S Cl
1 1 1 2
direct
0.0000 0.0000 0.0000
0.5000 0.5000 0.5000
0.5000 0.5000 0.0000
0.0000 0.5000 0.5000
0.5000 0.0000 0.5000
```

Properties
The density of states at the Fermi level comes out at 2.95 states/eV/atom. As for the final energy: -4.83 eV/atom. The formation energy (no corrections) is 0.436 eV per atom.

---

Compound: Sr2YFeCu2O7
Source: Alexandria via LeMat-Bulk
Functional: PBEsol
Structure: relaxed

POSCAR file:
```
Sr2YFeCu2O7
1.0
-11.3537 2.7177 2.6849
11.3537 -2.7177 2.6849
11.3537 2.7177 -2.6849
Sr Y Fe Cu O
4 2 2 4 14
direct
0.0129 0.1489 0.1619
0.0129 0.3511 0.3640
0.9871 0.6489 0.6360
0.9871 0.8511 0.8381
0.9977 0.4977 0.5000
0.9977 0.9977 0.0000
0.4716 0.7907 0.1809
0.6098 0.2907 0.8191
0.4966 0.5668 0.0691
0.4966 0.9275 0.4298
0.4977 0.0668 0.5702
0.4977 0.4275 0.9309
0.0089 0.6480 0.8609
0.4420 0.1544 0.6382
0.4420 0.3038 0.7876
0.4929 0.1802 0.1832
0.4929 0.8097 0.8127
0.5033 0.3123 0.3154
0.5033 0.6879 0.6910
0.5162 0.6544 0.2124
0.5162 0.8038 0.3618
0.7871 0.1480 0.1391
0.9969 0.1879 0.6846
0.9970 0.3097 0.8168
0.9970 0.6802 0.1873
0.9969 0.8123 0.3090
```

Properties
The density of states at the Fermi level comes out at 0.30 states/eV/atom. As for the final energy: -7.01 eV/atom. The formation energy (no corrections) is -2.020 eV per atom.

---

Compound: Ti3HPd
Source: Alexandria via LeMat-Bulk
Functional: PBEsol
Structure: relaxed

POSCAR file:
```
Ti3HPd
1.0
3.9993 0.0000 0.0000
0.0000 3.9993 0.0000
0.0000 0.0000 3.9993
Ti H Pd
3 1 1
direct
0.0000 0.0000 0.5000
0.0000 0.5000 0.0000
0.5000 0.0000 0.0000
0.0000 0.0000 0.0000
0.5000 0.5000 0.5000
```

Properties
The density of states at the Fermi level comes out at 1.28 states/eV/atom. As for the final energy: -7.20 eV/atom.

---

Q: What is the final energy in the third record?
A: -7.20 eV/atom